! LaTeRuN2 (PBE, optimized geometry); values from VASP
&SYSTEM
  ibrav = 0, nat = 5, ntyp = 4
/
ATOMIC_SPECIES
La 138.91 La.upf
N 14.01 N.upf
Te 127.60 Te.upf
Ru 101.07 Ru.upf
CELL_PARAMETERS angstrom
-0.956 1.058 3.888
-2.174 -3.500 0.418
5.724 -3.282 2.300
ATOMIC_POSITIONS crystal
La 0.000 0.000 0.000
N 0.500 0.000 0.000
N 0.000 0.500 0.000
Te 0.000 0.000 0.500
Ru 0.500 0.500 0.500
! * total DFT energy (no corrections): -5.548 eV per atom
! * energy above the lowest structure with this stoichiometry: 959 meV per atom
! * volume: 120 Å³ per cell
! * size of the total moment: 2.8 μB per cell
! * ΔE_f (raw): 1251 meV per atom